Material: Ac2ZnAs
Method: DFT, PBE-GGA
State: relaxed

Unit cell a=3.9875 b=3.9875 c=7.4381 alpha=90.00 beta=90.00 gamma=90.00
Closest atoms and distances in Å follow each position.
Positions (direct):
Zn: 0.5000 0.5000 0.0000  8 Ac 3.43, 2 As 3.72
Ac: 0.0000 0.0000 0.7382  4 As 3.33, 4 Zn 3.43, 1 Ac 3.54
Ac: 0.0000 0.0000 0.2618  4 As 3.33, 4 Zn 3.43, 1 Ac 3.54
As: 0.5000 0.5000 0.5000  8 Ac 3.33, 2 Zn 3.72

Calculated formation energy ... -672 meV/atom
M_tot ... 0.0 μB/f.u.
Distance to the lowest polymorph of the same formula ... 0 meV/atom
Space group ... P4/mmm (123)
Total energy ... -4.21 eV per atom
Mass density ... 8.3 Mg/m³